GGA-PBE AsI2BrN, relaxed; symmetry = P4/mmm; energy above the most stable polymorph in this dataset = 0.0 kJ/mol of formula units; formation energy from raw total energies = 0.75 eV per atom
1.0
6.339 0.000 0.000
0.000 6.339 0.000
0.000 0.000 3.576
I As Br N
2 1 1 1
Cartesian
0.000 3.169 0.000
3.169 0.000 0.000
0.000 0.000 0.000
3.169 3.169 1.788
0.000 0.000 1.788